Model one:
{
  "formula": "KAl2Ag",
  "functional": "PBE-GGA",
  "state": "relaxed",
  "cell": [[0.000, 3.516, 3.516], [3.516, 0.000, 3.516], [3.516, 3.516, 0.000]],
  "species": ["K", "Al", "Al", "Ag"],
  "fractional_positions": [[0.000, 0.000, 0.000], [0.250, 0.250, 0.250], [0.750, 0.750, 0.750], [0.500, 0.500, 0.500]],
  "space_group": "Fm-3m"
}



Model two:
{
  "formula": "KAl2Ag",
  "functional": "PBE-GGA",
  "state": "relaxed",
  "cell": [[3.257, 0.000, 0.000], [0.000, 3.257, 0.000], [0.000, 0.000, 8.767]],
  "species": ["K", "Al", "Al", "Ag"],
  "fractional_positions": [[0.000, 0.000, 0.000], [0.500, 0.500, 0.317], [0.500, 0.500, 0.683], [0.000, 0.000, 0.500]],
  "space_group": "P4/mmm"
}



Which structure is most stable, and how do the rest compare? From most to least stable: model two, model one.